Material: FeNiIrPd
Method: DFT, PBE
State: optimized geometry

Summary:
- total magnetization (μB per formula unit) = 3.144
- energy relative to the elements (eV per atom) = 0.07
- calculated volume (Å³ per atom) = 13.4
- E_tot (eV/atom) = -7.0006

Cell lengths 5.985, 5.985, 5.985 Å; angles 90.00, 90.00, 90.00 degrees
Space group F-43m (No. 216)
Unique sites:
Fe 0.000 0.000 0.000 (multiplicity 4)
Ni 0.000 0.000 0.500 (multiplicity 4)
Ir 0.250 0.250 0.750 (multiplicity 4)
Pd 0.250 0.250 0.250 (multiplicity 4)